--- A ---
ThZn3Cd3 (GGA-PBE, relaxed); V = 150.2 Å³/f.u.; total moment = 0.0 Bohr magnetons per cell
1.0
-3.400 -3.128 -0.828
3.245 -5.136 6.076
-5.918 5.887 2.062
Zn Cd Th
6 6 2
direct
0.250 0.399 0.479 Zn
0.250 0.080 0.601 Zn
0.250 0.521 0.920 Zn
0.750 0.920 0.399 Zn
0.750 0.601 0.521 Zn
0.750 0.479 0.080 Zn
0.250 0.755 0.780 Cd
0.250 0.219 0.974 Cd
0.250 0.026 0.245 Cd
0.750 0.974 0.755 Cd
0.750 0.781 0.026 Cd
0.750 0.245 0.220 Cd
0.750 0.334 0.667 Th
0.250 0.666 0.333 Th

--- B ---
ThZn3Cd3 (GGA-PBE, relaxed); V = 180.8 Å³/f.u.; total moment = 0.0 Bohr magnetons per cell
1.0
7.124 0.000 0.000
0.000 7.124 0.000
0.000 0.000 7.124
Zn Cd Th
6 6 2
direct
0.000 0.750 0.500 Zn
0.500 0.000 0.750 Zn
0.500 0.000 0.250 Zn
0.750 0.500 0.000 Zn
0.000 0.250 0.500 Zn
0.250 0.500 0.000 Zn
0.000 0.500 0.750 Cd
0.750 0.000 0.500 Cd
0.500 0.250 0.000 Cd
0.250 0.000 0.500 Cd
0.000 0.500 0.250 Cd
0.500 0.750 0.000 Cd
0.000 0.000 0.000 Th
0.500 0.500 0.500 Th

Referenced to the most stable arrangement, the calculated values in meV per atom are A 0; B 494.

--- A ---
Th2ZnCd3 (GGA-PBE, relaxed); V = 147.7 Å³/f.u.; total moment = 0.0 Bohr magnetons per cell
1.0
3.381 0.000 0.000
0.000 5.012 0.000
0.000 0.000 8.719
Cd Th Zn
3 2 1
direct
0.500 0.500 0.663 Cd
0.500 0.000 0.831 Cd
0.500 0.000 0.169 Cd
0.000 0.000 0.489 Th
0.000 0.500 0.013 Th
0.500 0.500 0.336 Zn

--- B ---
Th2ZnCd3 (GGA-PBE, relaxed); V = 153.1 Å³/f.u.; total moment = 0.0 Bohr magnetons per cell
1.0
4.930 0.000 -1.312
-0.255 3.377 -0.960
-0.234 0.716 9.037
Zn Cd Th
1 3 2
direct
0.439 0.939 0.879 Zn
0.716 0.716 0.433 Cd
0.286 0.786 0.572 Cd
0.551 0.551 0.101 Cd
0.896 0.396 0.792 Th
0.111 0.111 0.223 Th

Referenced to the most stable arrangement, the calculated values in meV per atom are A 0; B 94.

--- A ---
Th2ZrCd (GGA-PBE, relaxed); V = 112.1 Å³/f.u.; total moment = 0.0 Bohr magnetons per cell
1.0
5.412 0.000 0.000
2.706 4.687 0.000
2.706 1.562 4.418
Zr Cd Th
1 1 2
direct
0.000 0.000 0.000 Zr
0.500 0.500 0.500 Cd
0.750 0.750 0.750 Th
0.250 0.250 0.250 Th

--- B ---
Th2ZrCd (GGA-PBE, relaxed); V = 118.5 Å³/f.u.; total moment = 0.0 Bohr magnetons per cell
1.0
-1.643 0.650 -2.833
-1.095 -2.511 -1.909
-11.535 -0.661 4.568
Th Cd Zr
2 1 1
direct
0.909 0.909 0.272 Th
0.091 0.091 0.728 Th
0.000 0.000 0.000 Cd
0.500 0.500 0.500 Zr

Referenced to the most stable arrangement, the calculated values in meV per atom are A 0; B 183.

--- A ---
ThZr2Cd (GGA-PBE, relaxed); V = 96.9 Å³/f.u.; total moment = 0.0 Bohr magnetons per cell
1.0
5.156 0.000 0.000
2.578 4.465 0.000
2.578 1.488 4.209
Th Zr Cd
1 2 1
direct
0.000 0.000 0.000 Th
0.750 0.750 0.750 Zr
0.250 0.250 0.250 Zr
0.500 0.500 0.500 Cd

--- B ---
ThZr2Cd (GGA-PBE, relaxed); V = 100.4 Å³/f.u.; total moment = 0.0 Bohr magnetons per cell
1.0
-0.765 2.750 1.699
-2.975 0.283 1.451
2.611 -3.326 9.805
Zr Cd Th
2 1 1
direct
0.254 0.254 0.239 Zr
0.080 0.080 0.761 Zr
0.667 0.667 0.000 Cd
0.500 0.500 0.501 Th

--- C ---
ThZr2Cd (GGA-PBE, relaxed); V = 98.3 Å³/f.u.; total moment = 0.0 Bohr magnetons per cell
1.0
-0.413 -4.380 -0.060
4.590 -0.447 1.038
-1.039 0.035 4.611
Th Zr Cd
1 2 1
direct
0.500 0.000 0.000 Th
0.000 0.500 0.000 Zr
0.000 0.000 0.500 Zr
0.500 0.500 0.500 Cd

--- D ---
ThZr2Cd (GGA-PBE, relaxed); V = 96.8 Å³/f.u.; total moment = 0.0 Bohr magnetons per cell
1.0
-1.287 2.465 2.400
-3.064 0.344 -1.996
-3.054 -5.276 3.781
Zr Cd Th
2 1 1
direct
0.000 0.000 0.242 Zr
0.000 0.000 0.758 Zr
0.500 0.500 0.000 Cd
0.500 0.500 0.500 Th

Referenced to the most stable arrangement, the calculated values in meV per atom are A 124; B 77; C 0; D 27.